No. 1
Material: HoSc2S3
Method: DFT, PBE
State: optimized geometry

Results
Its density is 5203 kg/m³. Its magnetization is 0.0 μB per formula unit. For the uncorrected energy, the calculation gives -6.835 eV/atom.

Unit cell a=3.7490 b=3.7490 c=9.2043 alpha=90.00 beta=90.00 gamma=120.00
Space group P-3m1 (No. 164)
Inequivalent atoms, fractional coordinates:
Ho: 0.0000 0.0000 0.0000
Sc: 0.3333 0.6667 0.6609
S: 0.0000 0.0000 0.5000
S: 0.3333 0.6667 0.1794

No. 2
Material: Ho3Se2S
Method: DFT, PBE
State: optimized geometry

Results
Its density is 8404 kg/m³. Its magnetization is 0.0 μB per formula unit. For the uncorrected energy, the calculation gives -5.941 eV/atom.

Unit cell a=3.9908 b=3.9908 c=9.8094 alpha=90.00 beta=90.00 gamma=120.00
Space group P-3m1 (No. 164)
Inequivalent atoms, fractional coordinates:
Ho: 0.0000 0.0000 0.0000
Ho: 0.3333 0.6667 0.3481
Se: 0.3333 0.6667 0.8278
S: 0.0000 0.0000 0.5000

No. 3
Material: Ho3SeS2
Method: DFT, PBE
State: optimized geometry

Results
Its density is 8173 kg/m³. Its magnetization is 0.0 μB per formula unit. For the uncorrected energy, the calculation gives -6.134 eV/atom.

Unit cell a=3.9369 b=3.9369 c=9.6550 alpha=90.00 beta=90.00 gamma=120.00
Space group P-3m1 (No. 164)
Inequivalent atoms, fractional coordinates:
Ho: 0.0000 0.0000 0.0000
Ho: 0.3333 0.6667 0.3181
Se: 0.0000 0.0000 0.5000
S: 0.3333 0.6667 0.8387